Entry 1:
{"formula": "Eu2In", "functional": "PBE", "state": "relaxed", "e_form_ev_per_atom": -0.285, "energy_ev_per_atom": -8.0477, "sg": "Pnma (62)", "crystal_system": "orthorhombic", "n_ef_per_ev_atom": 0.017, "lattice": [[5.526, 0.000, 0.000], [0.000, 7.345, 0.000], [0.000, 0.000, 10.060]], "species": ["Eu", "Eu", "Eu", "Eu", "Eu", "Eu", "Eu", "Eu", "In", "In", "In", "In"], "frac_coords": [[0.750, 0.980, 0.290], [0.250, 0.020, 0.710], [0.750, 0.480, 0.210], [0.250, 0.520, 0.790], [0.750, 0.811, 0.926], [0.250, 0.189, 0.074], [0.750, 0.311, 0.574], [0.250, 0.689, 0.426], [0.750, 0.772, 0.599], [0.250, 0.228, 0.401], [0.750, 0.272, 0.901], [0.250, 0.728, 0.099]]}

---

Entry 2:
{"formula": "TbPmAgHg", "functional": "PBE", "state": "relaxed", "e_form_ev_per_atom": -0.385, "energy_ev_per_atom": -3.5185, "sg": "F-43m (216)", "crystal_system": "cubic", "n_ef_per_ev_atom": 0.731, "lattice": [[-0.002, 4.587, 2.612], [-3.921, 3.456, -0.739], [-3.526, 0.852, 3.835]], "species": ["Tb", "Hg", "Ag", "Pm"], "frac_coords": [[0.000, 0.000, 0.000], [0.750, 0.750, 0.750], [0.250, 0.250, 0.250], [0.500, 0.500, 0.500]]}

---

Entry 3:
{"formula": "Zr2TcP", "functional": "PBE", "state": "relaxed", "e_form_ev_per_atom": -0.542, "energy_ev_per_atom": -8.7605, "sg": "Cmmm (65)", "crystal_system": "orthorhombic", "n_ef_per_ev_atom": 0.911, "lattice": [[2.916, -3.551, 0.000], [2.916, 3.551, 0.000], [0.000, 0.000, 3.384]], "species": ["Zr", "Zr", "Tc", "P"], "frac_coords": [[0.000, 0.500, 0.000], [0.500, 0.000, 0.000], [0.000, 0.000, 0.500], [0.500, 0.500, 0.500]]}

---

Entry 4:
{"formula": "Li2PbW", "functional": "PBE", "state": "relaxed", "e_form_ev_per_atom": 0.504, "energy_ev_per_atom": -4.6185, "sg": "Immm (71)", "crystal_system": "orthorhombic", "n_ef_per_ev_atom": 0.432, "lattice": [[5.828, 0.003, -0.003], [3.023, 4.983, 0.003], [-3.784, -3.632, 2.541]], "species": ["Li", "Li", "Pb", "W"], "frac_coords": [[0.995, 0.995, 0.000], [0.505, 0.505, 0.000], [0.250, 0.750, 0.500], [0.750, 0.250, 0.500]]}

---

Entry 5:
{"formula": "Pm4NdDy4", "functional": "PBE", "state": "relaxed", "e_form_ev_per_atom": 0.016, "energy_ev_per_atom": -4.6709, "sg": "I4/mmm (139)", "crystal_system": "tetragonal", "n_ef_per_ev_atom": 1.429, "lattice": [[5.085, 0.000, 0.000], [2.543, 7.654, 0.000], [2.543, 0.000, 7.654]], "species": ["Pm", "Pm", "Pm", "Pm", "Nd", "Dy", "Dy", "Dy", "Dy"], "frac_coords": [[0.668, 0.332, 0.332], [0.332, 0.668, 0.668], [0.000, 0.668, 0.332], [0.000, 0.332, 0.668], [0.000, 0.000, 0.000], [0.667, 0.666, 0.000], [0.333, 0.334, 0.000], [0.667, 0.000, 0.666], [0.333, 0.000, 0.334]]}

---

Entry 6:
{"formula": "ReTeWI", "functional": "PBE", "state": "relaxed", "energy_ev_per_atom": -6.9575, "e_form_raw_ev_per_atom": 0.57, "sg": "Pm (6)", "crystal_system": "monoclinic", "n_ef_per_ev_atom": 0.383, "lattice": [[4.055, 0.000, 0.002], [0.000, 3.761, 0.000], [-1.277, 0.000, 7.289]], "species": ["I", "Re", "Te", "W"], "frac_coords": [[0.243, 0.500, 0.229], [0.688, 0.500, 0.536], [0.618, 0.000, 0.790], [0.078, 0.000, 0.515]]}

---

Entry 7:
{"formula": "Fe2PRh", "functional": "PBE", "state": "relaxed", "e_form_ev_per_atom": -0.062, "energy_ev_per_atom": -7.4838, "sg": "Cmmm (65)", "crystal_system": "orthorhombic", "n_ef_per_ev_atom": 1.101, "lattice": [[-0.344, 1.403, -4.222], [-3.349, -2.609, 1.376], [-1.387, 2.236, 0.858]], "species": ["Fe", "Fe", "P", "Rh"], "frac_coords": [[0.000, 0.000, 0.000], [0.500, 0.500, 0.000], [0.500, 0.000, 0.500], [0.000, 0.500, 0.500]]}

---

Entry 8:
{"formula": "La2Sb5Rh3", "functional": "PBE", "state": "relaxed", "energy_ev_per_atom": -6.0034, "e_form_raw_ev_per_atom": -0.75, "sg": "Cmc2_1 (36)", "crystal_system": "orthorhombic", "n_ef_per_ev_atom": 0.482, "lattice": [[4.569, 0.000, -0.778], [0.000, 7.480, 0.000], [-0.045, 0.000, 13.537]], "species": ["La", "La", "La", "La", "Sb", "Sb", "Sb", "Sb", "Sb", "Sb", "Sb", "Sb", "Sb", "Sb", "Rh", "Rh", "Rh", "Rh", "Rh", "Rh"], "frac_coords": [[0.476, 0.756, 0.951], [0.171, 0.744, 0.342], [0.829, 0.244, 0.658], [0.524, 0.256, 0.049], [0.404, 0.385, 0.807], [0.284, 0.512, 0.568], [0.716, 0.012, 0.432], [0.121, 0.256, 0.242], [0.297, 0.933, 0.594], [0.953, 0.089, 0.906], [0.703, 0.433, 0.406], [0.879, 0.756, 0.758], [0.047, 0.589, 0.094], [0.596, 0.885, 0.193], [0.775, 0.708, 0.549], [0.604, 0.514, 0.207], [0.053, 0.967, 0.107], [0.225, 0.208, 0.451], [0.947, 0.467, 0.893], [0.396, 0.014, 0.793]]}

---

| no. | V (Å³/cell) |
| --- | --- |
| 1 | 408.36 |
| 2 | 104.00 |
| 3 | 70.08 |
| 4 | 73.81 |
| 5 | 297.91 |
| 6 | 111.16 |
| 7 | 50.08 |
| 8 | 462.33 |